Entry from Alexandria via LeMat-Bulk: an optimized crystal structure of ZnFeRu2 (PBE).

The calculated density comes out at 9.794 g/cm³. The calculation puts the formation energy at 0.18 eV/atom.

abc: 4.0341 2.6898 5.3093
angles: 72.12 90.00 90.00
With the nearest neighbours (Å) after each atom.
Sites, in units of the cell vectors:
Zn 0.5000 0.2500 0.2500  2 Fe 2.58, 2 Zn 2.69, 8 Ru 2.74-2.76
Ru 0.0000 0.8983 0.9940  2 Fe 2.49, 4 Ru 2.59-2.70, 4 Zn 2.74-2.76
Ru 0.0000 0.6017 0.5060  2 Fe 2.49, 4 Ru 2.59-2.70, 4 Zn 2.74-2.76
Fe 0.5000 0.7500 0.7500  4 Ru 2.49, 2 Zn 2.58, 2 Fe 2.69